Record 1
# Ho8Tm2Zr GGA-PBE optimized geometry
data_Ho8Tm2Zr
_chemical_formula_sum 'Ho16 Tm4 Zr2'
_cell_length_a 17.761
_cell_length_b 4.916
_cell_length_c 7.804
_cell_angle_alpha 90.00
_cell_angle_beta 105.32
_cell_angle_gamma 90.00
_space_group_name_H-M_alt 'C 1 2/m 1'
_space_group_IT_number 12
loop_
_space_group_symop_operation_xyz
'x,y,z'
'-x,-y,-z'
'-x,y,-z'
'x,-y,z'
'x+1/2,y+1/2,z'
'-x+1/2,-y+1/2,-z'
'-x+1/2,y+1/2,-z'
'x+1/2,-y+1/2,z'
loop_
_atom_site_label
_atom_site_type_symbol
_atom_site_fract_x
_atom_site_fract_y
_atom_site_fract_z
_atom_site_occupancy
Ho1 Ho 0.044 0.000 0.236 1
Ho2 Ho 0.090 0.500 0.945 1
Ho3 Ho 0.132 0.000 0.676 1
Ho4 Ho 0.179 0.500 0.411 1
Tm1 Tm 0.226 0.000 0.134 1
Zr1 Zr 0.000 0.500 0.500 1
# polymorph energy (0 for the lowest one)	0.0	meV/atom
# formation enthalpy at 0 K	43.3	meV per atom

***

Record 2
# TbGdSc4 GGA-PBE optimized geometry
data_TbGdSc4
_chemical_formula_sum 'Tb4 Gd4 Sc16'
_cell_length_a 8.864
_cell_length_b 8.864
_cell_length_c 8.864
_cell_angle_alpha 90.00
_cell_angle_beta 90.00
_cell_angle_gamma 90.00
_space_group_name_H-M_alt 'F -4 3 m'
_space_group_IT_number 216
_space_group_name_Hall 'F -4 2 3'
loop_
_atom_site_label
_atom_site_type_symbol
_atom_site_fract_x
_atom_site_fract_y
_atom_site_fract_z
_atom_site_occupancy
Tb1 Tb 0.000 0.000 0.000 1
Gd1 Gd 0.250 0.250 0.250 1
Sc1 Sc 0.125 0.125 0.625 1
# formation enthalpy at 0 K	198.2	meV per atom

***

Record 3
# BeAlOs2 GGA-PBE optimized geometry
data_BeAlOs2
_chemical_formula_sum 'Be4 Al4 Os8'
_cell_length_a 5.960
_cell_length_b 5.960
_cell_length_c 5.960
_cell_angle_alpha 90.00
_cell_angle_beta 90.00
_cell_angle_gamma 90.00
_space_group_name_H-M_alt 'F -4 3 m'
_space_group_IT_number 216
_space_group_name_Hall 'F -4 2 3'
loop_
_atom_site_label
_atom_site_type_symbol
_atom_site_fract_x
_atom_site_fract_y
_atom_site_fract_z
_atom_site_occupancy
Be1 Be 0.000 0.000 0.000 1
Al1 Al 0.250 0.250 0.750 1
Os1 Os 0.000 0.000 0.500 1
Os2 Os 0.250 0.250 0.250 1
# formation enthalpy at 0 K	81.7	meV per atom

***

Record 4
# Be2Cu2Pt GGA-PBE optimized geometry
data_Be2Cu2Pt
_chemical_formula_sum 'Be4 Cu4 Pt2'
_cell_length_a 6.308
_cell_length_b 6.308
_cell_length_c 2.760
_cell_angle_alpha 90.00
_cell_angle_beta 90.00
_cell_angle_gamma 90.00
_space_group_name_H-M_alt 'P 4/m b m'
_space_group_IT_number 127
_space_group_name_Hall '-P 4 2ab'
loop_
_atom_site_label
_atom_site_type_symbol
_atom_site_fract_x
_atom_site_fract_y
_atom_site_fract_z
_atom_site_occupancy
Be1 Be 0.137 0.363 0.000 1
Cu1 Cu 0.153 0.653 0.500 1
Pt1 Pt 0.000 0.000 0.000 1
# polymorph energy (0 for the lowest one)	0.0	meV/atom
# formation enthalpy at 0 K	-235.6	meV per atom

***

Record 5
# Ac3NiAgCl GGA-PBE optimized geometry
data_Ac3NiAgCl
_chemical_formula_sum 'Ac6 Ni2 Ag2 Cl2'
_cell_length_a 8.758
_cell_length_b 4.441
_cell_length_c 10.101
_cell_angle_alpha 90.00
_cell_angle_beta 101.88
_cell_angle_gamma 90.00
_space_group_name_H-M_alt 'P 1 21/m 1'
_space_group_IT_number 11
loop_
_space_group_symop_operation_xyz
'x,y,z'
'-x,-y,-z'
'-x,y+1/2,-z'
'x,-y+1/2,z'
loop_
_atom_site_label
_atom_site_type_symbol
_atom_site_fract_x
_atom_site_fract_y
_atom_site_fract_z
_atom_site_occupancy
Ac1 Ac 0.061 0.250 0.343 1
Ac2 Ac 0.204 0.250 0.967 1
Ac3 Ac 0.385 0.750 0.618 1
Ni1 Ni 0.164 0.250 0.642 1
Ag1 Ag 0.297 0.750 0.254 1
Cl1 Cl 0.415 0.750 0.907 1
# uncorrected formation energy	-56.7	kJ/mol of atoms

***

Record 6
# Li4TmNp3Te8 GGA-PBE optimized geometry
data_Li4TmNp3Te8
_chemical_formula_sum 'Li8 Tm2 Np6 Te16'
_cell_length_a 14.958
_cell_length_b 8.770
_cell_length_c 8.654
_cell_angle_alpha 90.00
_cell_angle_beta 124.34
_cell_angle_gamma 90.00
_space_group_name_H-M_alt 'C 1 2/m 1'
_space_group_IT_number 12
loop_
_space_group_symop_operation_xyz
'x,y,z'
'-x,-y,-z'
'-x,y,-z'
'x,-y,z'
'x+1/2,y+1/2,z'
'-x+1/2,-y+1/2,-z'
'-x+1/2,y+1/2,-z'
'x+1/2,-y+1/2,z'
loop_
_atom_site_label
_atom_site_type_symbol
_atom_site_fract_x
_atom_site_fract_y
_atom_site_fract_z
_atom_site_occupancy
Li1 Li 0.000 0.000 0.000 1
Li2 Li 0.000 0.500 0.000 1
Li3 Li 0.250 0.250 0.500 1
Tm1 Tm 0.000 0.000 0.500 1
Np1 Np 0.000 0.500 0.500 1
Np2 Np 0.250 0.250 0.000 1
Te1 Te 0.004 0.245 0.251 1
Te2 Te 0.246 0.000 0.252 1
Te3 Te 0.249 0.000 0.742 1
# uncorrected formation energy	-85.7	kJ/mol of atoms

***

Record 7
# NaLi2TeH GGA-PBE optimized geometry
data_NaLi2TeH
_chemical_formula_sum 'Na1 Li2 Te1 H1'
_cell_length_a 5.510
_cell_length_b 5.510
_cell_length_c 4.074
_cell_angle_alpha 90.00
_cell_angle_beta 90.00
_cell_angle_gamma 90.00
_space_group_name_H-M_alt 'P 4/m m m'
_space_group_IT_number 123
_space_group_name_Hall '-P 4 2'
loop_
_atom_site_label
_atom_site_type_symbol
_atom_site_fract_x
_atom_site_fract_y
_atom_site_fract_z
_atom_site_occupancy
Na1 Na 0.000 0.000 0.000 1
Li1 Li 0.000 0.500 0.500 1
Te1 Te 0.500 0.500 0.500 1
H1 H 0.500 0.500 0.000 1
# polymorph energy (0 for the lowest one)	594.2	meV/atom

***

Record 8
# MnWCl GGA-PBE optimized geometry
data_MnWCl
_chemical_formula_sum 'Mn4 W4 Cl4'
_cell_length_a 5.759
_cell_length_b 5.759
_cell_length_c 5.759
_cell_angle_alpha 90.00
_cell_angle_beta 90.00
_cell_angle_gamma 90.00
_space_group_name_H-M_alt 'F -4 3 m'
_space_group_IT_number 216
_space_group_name_Hall 'F -4 2 3'
loop_
_atom_site_label
_atom_site_type_symbol
_atom_site_fract_x
_atom_site_fract_y
_atom_site_fract_z
_atom_site_occupancy
Mn1 Mn 0.000 0.000 0.000 1
W1 W 0.250 0.250 0.250 1
Cl1 Cl 0.250 0.250 0.750 1
# uncorrected formation energy	114.2	kJ/mol of atoms
# polymorph energy (0 for the lowest one)	836.0	meV/atom

***

Record 9
# FeOsRh2 GGA-PBE optimized geometry
data_FeOsRh2
_chemical_formula_sum 'Fe1 Os1 Rh2'
_cell_length_a 2.709
_cell_length_b 3.788
_cell_length_c 5.350
_cell_angle_alpha 90.00
_cell_angle_beta 90.00
_cell_angle_gamma 90.00
_space_group_name_H-M_alt 'P m m m'
_space_group_IT_number 47
loop_
_space_group_symop_operation_xyz
'x,y,z'
'-x,-y,-z'
'-x,-y,z'
'x,y,-z'
'x,-y,-z'
'-x,y,z'
'-x,y,-z'
'x,-y,z'
loop_
_atom_site_label
_atom_site_type_symbol
_atom_site_fract_x
_atom_site_fract_y
_atom_site_fract_z
_atom_site_occupancy
Fe1 Fe 0.000 0.000 0.000 1
Os1 Os 0.000 0.000 0.500 1
Rh1 Rh 0.500 0.500 0.249 1
# polymorph energy (0 for the lowest one)	17.6	meV/atom
# formation enthalpy at 0 K	31.1	meV per atom

***

Record 10
# ThNb2Si4 GGA-PBE optimized geometry
data_ThNb2Si4
_chemical_formula_sum 'Th2 Nb4 Si8'
_cell_length_a 3.721
_cell_length_b 3.739
_cell_length_c 17.929
_cell_angle_alpha 90.00
_cell_angle_beta 90.00
_cell_angle_gamma 90.00
_space_group_name_H-M_alt 'I m m m'
_space_group_IT_number 71
_space_group_name_Hall '-I 2 2'
loop_
_atom_site_label
_atom_site_type_symbol
_atom_site_fract_x
_atom_site_fract_y
_atom_site_fract_z
_atom_site_occupancy
Th1 Th 0.000 0.000 0.000 1
Nb1 Nb 0.000 0.500 0.309 1
Si1 Si 0.000 0.000 0.420 1
Si2 Si 0.000 0.500 0.163 1
# uncorrected formation energy	-47.1	kJ/mol of atoms

***

Record 11
# TlCrP GGA-PBE optimized geometry
data_TlCrP
_chemical_formula_sum 'Tl2 Cr2 P2'
_cell_length_a 3.256
_cell_length_b 3.256
_cell_length_c 11.852
_cell_angle_alpha 90.00
_cell_angle_beta 90.00
_cell_angle_gamma 90.00
_space_group_name_H-M_alt 'I 4 m m'
_space_group_IT_number 107
_space_group_name_Hall 'I 4 -2'
loop_
_atom_site_label
_atom_site_type_symbol
_atom_site_fract_x
_atom_site_fract_y
_atom_site_fract_z
_atom_site_occupancy
Tl1 Tl 0.000 0.000 0.000 1
Cr1 Cr 0.000 0.000 0.717 1
P1 P 0.000 0.000 0.272 1
# polymorph energy (0 for the lowest one)	291.9	meV/atom
# formation enthalpy at 0 K	140.0	meV per atom

***

Record 12
# V2CuSe4 GGA-PBE optimized geometry
data_V2CuSe4
_chemical_formula_sum 'V8 Cu4 Se16'
_cell_length_a 7.391
_cell_length_b 7.391
_cell_length_c 10.419
_cell_angle_alpha 90.00
_cell_angle_beta 90.00
_cell_angle_gamma 90.00
_space_group_name_H-M_alt 'I 41/a m d'
_space_group_IT_number 141
loop_
_space_group_symop_operation_xyz
'x,y,z'
'-x,-y,-z'
'-y+1/4,x+3/4,z+1/4'
'y+1/4,-x+3/4,-z+1/4'
'-x+1/2,-y,z+1/2'
'x+1/2,y,-z+1/2'
'y+1/4,-x+1/4,z+3/4'
'-y+1/4,x+1/4,-z+3/4'
'x,-y,-z'
'-x,y,z'
'-y+1/4,-x+1/4,-z+3/4'
'y+1/4,x+1/4,z+3/4'
'-x+1/2,y,-z+1/2'
'x+1/2,-y,z+1/2'
'y+1/4,x+3/4,-z+1/4'
'-y+1/4,-x+3/4,z+1/4'
'x+1/2,y+1/2,z+1/2'
'-x+1/2,-y+1/2,-z+1/2'
'-y+3/4,x+1/4,z+3/4'
'y+3/4,-x+1/4,-z+3/4'
'-x,-y+1/2,z'
'x,y+1/2,-z'
'y+3/4,-x+3/4,z+1/4'
'-y+3/4,x+3/4,-z+1/4'
'x+1/2,-y+1/2,-z+1/2'
'-x+1/2,y+1/2,z+1/2'
'-y+3/4,-x+3/4,-z+1/4'
'y+3/4,x+3/4,z+1/4'
'-x,y+1/2,-z'
'x,-y+1/2,z'
'y+3/4,x+1/4,-z+3/4'
'-y+3/4,-x+1/4,z+3/4'
loop_
_atom_site_label
_atom_site_type_symbol
_atom_site_fract_x
_atom_site_fract_y
_atom_site_fract_z
_atom_site_occupancy
V1 V 0.000 0.000 0.000 1
Cu1 Cu 0.000 0.250 0.375 1
Se1 Se 0.000 0.013 0.756 1
# uncorrected formation energy	-54.5	kJ/mol of atoms

***

Number 1: E_tot -4.876 eV per atom, ρ 8.837 g/cm3, total magnetization 0.00 μB per cell. Number 2: E_tot -7.141 eV per atom, ρ 4.730 g/cm3, total magnetization 53.80 μB per cell. Number 3: E_tot -7.400 eV per atom, ρ 13.064 g/cm3, total magnetization 0.00 μB per cell. Number 4: E_tot -4.573 eV per atom, ρ 10.290 g/cm3, total magnetization 0.00 μB per cell. Number 5: E_tot -4.389 eV per atom, ρ 7.628 g/cm3, total magnetization 0.00 μB per cell. Number 6: E_tot -5.643 eV per atom, ρ 6.832 g/cm3, total magnetization 7.87 μB per cell. Number 7: E_tot -2.415 eV per atom, ρ 2.222 g/cm3, total magnetization 0.00 μB per cell. Number 8: E_tot -6.806 eV per atom, ρ 9.535 g/cm3, total magnetization 0.00 μB per cell. Number 9: E_tot -8.568 eV per atom, ρ 13.671 g/cm3, total magnetization 2.76 μB per cell. Number 10: E_tot -7.524 eV per atom, ρ 7.059 g/cm3, total magnetization 0.00 μB per cell. Number 11: E_tot -5.660 eV per atom, ρ 7.596 g/cm3, total magnetization 6.03 μB per cell. Number 12: E_tot -5.746 eV per atom, ρ 5.617 g/cm3, total magnetization 12.17 μB per cell.